HfZnCd2 | the Alexandria database | PBE | relaxed; energy of formation = -17 meV per atom
1.0
-3.7949 0.4558 2.4074
1.3848 -2.8480 2.7222
1.7925 3.0250 2.2529
Zn Hf Cd
1 1 2
Cartesian
-0.3088 0.3164 3.6913
-1.8975 0.2279 1.2037
0.8963 1.5125 1.1265
0.6924 -1.4240 1.3611